1.
This record from Alexandria describes a geometry-optimized NbAs2S structure. The functional is GGA-PBE.

Cell: 5.872 5.872 11.667 Å, 90.00 90.00 90.00°
Space group I-42d (No. 122)
Inequivalent atoms, fractional coordinates:
Nb: 0.000 0.000 0.000 x4
As: 0.240 0.250 0.125 x8
S: 0.000 0.000 0.500 x4

Summary:
**Relative energy among the computed polymorphs**: 0 meV per atom
**Total magnetic moment**: 0.000 μB per cell
**Formation energy without anion corrections**: 0.388 eV per atom

2.
This record from Alexandria describes a geometry-optimized Tb3Sm4Er structure. The functional is GGA-PBE.

Cell: 23.402 3.493 6.799 Å, 90.00 106.83 90.00°
Space group C2/m (No. 12)
Inequivalent atoms, fractional coordinates:
Tb: 0.000 0.000 0.000 x2
Tb: 0.123 0.000 0.383 x4
Sm: 0.124 0.000 0.867 x4
Sm: 0.241 0.500 0.738 x4
Er: 0.000 0.500 0.500 x2

Summary:
**Relative energy among the computed polymorphs**: 142 meV per atom
**Total magnetic moment**: 0.000 μB per cell
**Energy relative to the elements**: 0.16 eV/atom

3.
This record from Alexandria describes a geometry-optimized Er4Cd5Ir2 structure. The functional is GGA-PBE.

Cell: 7.692 3.610 9.527 Å, 90.00 94.10 90.00°
Space group P2/m (No. 10)
Inequivalent atoms, fractional coordinates:
Er: 0.170 0.000 0.351 x2
Er: 0.209 0.000 0.945 x2
Cd: 0.187 0.500 0.652 x2
Cd: 0.455 0.500 0.170 x2
Cd: 0.500 0.500 0.500 x1
Ir: 0.077 0.500 0.145 x2

Summary:
**Total magnetic moment**: 0.000 μB per cell
**Energy relative to the elements**: -0.50 eV/atom